1.
First-principles (PBE-GGA) data for crystalline MnSi2Cl at its relaxed geometry, as listed in Alexandria.

## Properties
The uncorrected formation energy comes out at 0.120 eV/atom. The calculation puts the energy above the most stable polymorph in this dataset at 143 meV/atom. Its final energy is -0.19643 Ha/atom. Its space-group type is P4mm.

Cell and atoms, written as POSCAR:
```
MnSi2Cl
1.0
3.052 0.000 0.000
0.000 3.052 0.000
0.000 0.000 7.559
Cl Mn Si
1 1 2
Direct
0.000 0.000 0.583
0.500 0.500 0.791
0.000 0.000 0.972
0.500 0.500 0.154
```



2.
First-principles (PBE-GGA) data for crystalline TmSF at its relaxed geometry, as listed in Alexandria.

## Properties
The uncorrected formation energy comes out at -2.796 eV/atom. Its final energy is -0.23102 Ha/atom. Its space-group type is F-43m.

Cell and atoms, written as POSCAR:
```
TmSF
1.0
-2.686 2.873 -1.741
-4.042 -1.129 -0.940
-3.265 1.571 2.317
S Tm F
1 1 1
Direct
0.000 0.000 0.000
0.250 0.250 0.250
0.500 0.500 0.500
```



3.
First-principles (PBE-GGA) data for crystalline Sc2TaHg at its relaxed geometry, as listed in Alexandria.

## Properties
For the calculated formation energy, the calculation gives 0.055 eV/atom. Its final energy is -0.22598 Ha/atom. Its space-group type is P4/mmm.

Cell and atoms, written as POSCAR:
```
Sc2TaHg
1.0
4.190 0.000 0.000
0.000 4.428 0.000
0.000 0.000 4.428
Hg Sc Ta
1 2 1
Direct
0.500 0.000 0.500
0.000 0.000 0.000
0.000 0.500 0.500
0.500 0.500 0.000
```



4.
First-principles (PBE-GGA) data for crystalline SrSbCl at its relaxed geometry, as listed in Alexandria.

## Properties
The uncorrected formation energy comes out at -0.481 eV/atom. The calculation puts the energy above the most stable polymorph in this dataset at 1072 meV/atom. Its final energy is -0.11139 Ha/atom. Its space-group type is F-43m.

Cell and atoms, written as POSCAR:
```
SrSbCl
1.0
5.504 0.000 0.000
2.752 4.767 0.000
2.752 1.589 4.494
Cl Sb Sr
1 1 1
Direct
0.500 0.500 0.500
0.750 0.750 0.750
0.000 0.000 0.000
```



5.
First-principles (PBE-GGA) data for crystalline NaIn2Hg2 at its relaxed geometry, as listed in Alexandria.

## Properties
The calculation puts the energy above the most stable polymorph in this dataset at 13 meV/atom. For the calculated formation energy, the calculation gives -0.091 eV/atom. Its final energy is -0.05774 Ha/atom. Its space-group type is P-1.

Cell and atoms, written as POSCAR:
```
NaIn2Hg2
1.0
-2.363 4.699 -0.961
-3.617 2.122 4.842
7.123 4.313 3.369
Na In Hg
2 4 4
Direct
0.846 0.806 0.248
0.154 0.194 0.752
0.521 0.453 0.250
0.865 0.780 0.747
0.135 0.220 0.253
0.479 0.547 0.750
0.330 0.840 0.026
0.671 0.161 0.525
0.670 0.160 0.974
0.329 0.839 0.475
```



6.
First-principles (PBE-GGA) data for crystalline Pm4Y6Er at its relaxed geometry, as listed in Alexandria.

## Properties
The calculation puts the energy above the most stable polymorph in this dataset at 0 meV/atom. For the calculated formation energy, the calculation gives 0.118 eV/atom. Its final energy is -0.20398 Ha/atom. Its space-group type is Cmcm.

Cell and atoms, written as POSCAR:
```
Pm4Y6Er
1.0
-4.453 1.243 3.454
-0.803 -2.781 -4.855
3.300 -22.547 12.369
Pm Y Er
8 12 2
Direct
0.843 0.686 0.545
0.471 0.941 0.122
0.157 0.314 0.455
0.529 0.059 0.878
0.843 0.686 0.955
0.157 0.314 0.045
0.529 0.059 0.622
0.471 0.941 0.378
0.500 0.000 0.000
0.500 0.000 0.500
0.146 0.291 0.317
0.854 0.709 0.683
0.854 0.709 0.817
0.146 0.291 0.183
0.810 0.621 0.394
0.190 0.379 0.606
0.190 0.379 0.894
0.810 0.621 0.106
0.483 0.966 0.250
0.517 0.034 0.750
0.817 0.634 0.250
0.183 0.366 0.750
```



Repeat the second record exactly.
First-principles (PBE-GGA) data for crystalline TmSF at its relaxed geometry, as listed in Alexandria.

## Properties
The uncorrected formation energy comes out at -2.796 eV/atom. Its final energy is -0.23102 Ha/atom. Its space-group type is F-43m.

Cell and atoms, written as POSCAR:
```
TmSF
1.0
-2.686 2.873 -1.741
-4.042 -1.129 -0.940
-3.265 1.571 2.317
S Tm F
1 1 1
Direct
0.000 0.000 0.000
0.250 0.250 0.250
0.500 0.500 0.500
```